1.
Here is a relaxed Ti2Be16Ir crystal from Alexandria. Energies are from GGA-PBE.

a b c (Å): 7.5053 7.5053 10.8589
angles (deg): 90.00 90.00 120.00
Space group R3m (No. 160, hexagonal axes)
Asymmetric unit:
Ti1 0.0000 0.0000 0.0000 [3 per cell]
Ti2 0.0000 0.0000 0.3186 [3 per cell]
Be1 0.0000 0.0000 0.5477 [3 per cell]
Be2 0.0005 0.2938 0.6615 [18 per cell]
Be3 0.0027 0.5013 0.1596 [9 per cell]
Be4 0.0061 0.5030 0.8148 [9 per cell]
Be5 0.1693 0.3386 0.8393 [9 per cell]
Ir1 0.0000 0.0000 0.7546 [3 per cell]

## Properties
Final energy: -4.696 eV/atom
Total magnetization: 0.000 μB per formula unit
Fermi-level density of states: 0.2867 states/eV/atom
Formation enthalpy at 0 K: -0.261 eV/atom

***

2.
Here is a relaxed AsPdO2 crystal from Alexandria. Energies are from GGA-PBE.

a b c (Å): 5.6825 5.6825 5.6825
angles (deg): 90.00 90.00 90.00
Space group Fm-3m (No. 225)
Asymmetric unit:
As1 0.0000 0.0000 0.0000 [4 per cell]
Pd1 0.0000 0.0000 0.5000 [4 per cell]
O1 0.2500 0.2500 0.2500 [8 per cell]

## Properties
Final energy: -4.824 eV/atom
Total magnetization: 1.001 μB per formula unit
Fermi-level density of states: 0.9050 states/eV/atom

***

3.
Here is a relaxed CaCuBiSe3 crystal from Alexandria. Energies are from GGA-PBE.

a b c (Å): 8.5727 4.0641 8.9437
angles (deg): 90.00 100.82 90.00
Space group P2_1/m (No. 11)
Asymmetric unit:
Ca1 0.1686 0.2500 0.2423 [2 per cell]
Cu1 0.0740 0.2500 0.5746 [2 per cell]
Bi1 0.3348 0.7500 0.8336 [2 per cell]
Se1 0.0966 0.2500 0.8688 [2 per cell]
Se2 0.2219 0.7500 0.5005 [2 per cell]
Se3 0.4126 0.7500 0.1672 [2 per cell]

## Properties
Final energy: -4.225 eV/atom
Total magnetization: 0.000 μB per formula unit

***

4.
Here is a relaxed Li2PrH6 crystal from Alexandria. Energies are from GGA-PBE.

a b c (Å): 7.7581 7.7581 7.7581
angles (deg): 90.00 90.00 90.00
Space group Fm-3m (No. 225)
Asymmetric unit:
Li1 0.2500 0.2500 0.2500 [8 per cell]
Pr1 0.0000 0.0000 0.0000 [4 per cell]
H1 0.0000 0.0000 0.2879 [24 per cell]

## Properties
Final energy: -2.758 eV/atom
Total magnetization: 0.000 μB per formula unit
Fermi-level density of states: 0.3200 states/eV/atom